[1]
# Nd2Cu6Ni3 (PBE-GGA, optimized geometry)
# Total moment   0.00 μB per formula unit
# Formation energy from the elements   -0.112 eV/atom
# Raw total energy   -4.790 eV per atom
data_Nd2Cu6Ni3
_chemical_formula_sum 'Nd2 Cu6 Ni3'
_cell_length_a 7.1896
_cell_length_b 7.1896
_cell_length_c 3.8926
_cell_angle_alpha 90.00
_cell_angle_beta 90.00
_cell_angle_gamma 120.00
_space_group_name_H-M_alt 'P -6 2 m'
_space_group_IT_number 189
_space_group_name_Hall 'P -6 -2'
loop_
_atom_site_label
_atom_site_type_symbol
_atom_site_fract_x
_atom_site_fract_y
_atom_site_fract_z
Nd1 Nd 0.3333 0.6667 0.0000
Cu1 Cu 0.0000 0.1965 0.0000
Cu2 Cu 0.0000 0.7474 0.5000
Ni1 Ni 0.0000 0.4023 0.5000

=====

[2]
# Nd2Cu9Ni6 (PBE-GGA, optimized geometry)
# Total moment   0.66 μB per formula unit
# Formation energy from the elements   -0.003 eV/atom
# Raw total energy   -4.773 eV per atom
data_Nd2Cu9Ni6
_chemical_formula_sum 'Nd2 Cu9 Ni6'
_cell_length_a 4.9573
_cell_length_b 4.9573
_cell_length_c 12.1466
_cell_angle_alpha 90.00
_cell_angle_beta 90.00
_cell_angle_gamma 120.00
_space_group_name_H-M_alt 'P 6/m m m'
_space_group_IT_number 191
_space_group_name_Hall '-P 6 2'
loop_
_atom_site_label
_atom_site_type_symbol
_atom_site_fract_x
_atom_site_fract_y
_atom_site_fract_z
Nd1 Nd 0.0000 0.0000 0.1775
Cu1 Cu 0.0000 0.5000 0.0000
Cu2 Cu 0.0000 0.5000 0.3374
Ni1 Ni 0.3333 0.6667 0.1682
Ni2 Ni 0.3333 0.6667 0.5000